This record from the Alexandria database describes crystalline AcCuHg at its relaxed geometry. The functional is PBE.

Properties
- relative energy among the computed polymorphs (meV/atom) = 5
- total DFT energy (no corrections) (eV/atom) = -3.153
- formation enthalpy at 0 K (eV per atom) = -0.32

Geometry as CIF:
```
data_AcCuHg
_cell_length_a 4.754
_cell_length_b 4.754
_cell_length_c 8.097
_cell_angle_alpha 90.00
_cell_angle_beta 90.00
_cell_angle_gamma 120.00
_symmetry_space_group_name_H-M 'P 1'
_symmetry_Int_Tables_number 1
_symmetry_space_group_name_Hall 'P 1'
loop_
_atom_site_label
_atom_site_fract_x
_atom_site_fract_y
_atom_site_fract_z
Ac1 0.000 0.000 0.000
Ac2 0.000 0.000 0.500
Cu1 0.333 0.667 0.250
Cu2 0.667 0.333 0.750
Hg1 0.333 0.667 0.750
Hg2 0.667 0.333 0.250
```

This record from the Alexandria database describes crystalline AcCuHg at its relaxed geometry. The functional is PBE.

Properties
- relative energy among the computed polymorphs (meV/atom) = 175
- total DFT energy (no corrections) (eV/atom) = -2.982
- formation enthalpy at 0 K (eV per atom) = -0.15

Geometry as CIF:
```
data_AcCuHg
_cell_length_a 3.890
_cell_length_b 3.890
_cell_length_c 10.407
_cell_angle_alpha 90.00
_cell_angle_beta 90.00
_cell_angle_gamma 90.00
_symmetry_space_group_name_H-M 'P 1'
_symmetry_Int_Tables_number 1
_symmetry_space_group_name_Hall 'P 1'
loop_
_atom_site_label
_atom_site_fract_x
_atom_site_fract_y
_atom_site_fract_z
Ac1 0.000 0.000 0.000
Ac2 0.500 0.500 0.500
Cu1 0.000 0.000 0.322
Cu2 0.500 0.500 0.822
Hg1 0.000 0.000 0.692
Hg2 0.500 0.500 0.192
```

This record from the Alexandria database describes crystalline Ac2Cu3Hg at its relaxed geometry. The functional is PBE.

Properties
- relative energy among the computed polymorphs (meV/atom) = 4
- total DFT energy (no corrections) (eV/atom) = -3.711
- formation enthalpy at 0 K (eV per atom) = -0.24

Geometry as CIF:
```
data_Ac2Cu3Hg
_cell_length_a 4.178
_cell_length_b 4.313
_cell_length_c 16.626
_cell_angle_alpha 90.00
_cell_angle_beta 90.00
_cell_angle_gamma 90.00
_symmetry_space_group_name_H-M 'P 1'
_symmetry_Int_Tables_number 1
_symmetry_space_group_name_Hall 'P 1'
loop_
_atom_site_label
_atom_site_fract_x
_atom_site_fract_y
_atom_site_fract_z
Ac1 0.000 0.000 0.000
Ac2 0.000 0.500 0.270
Ac3 0.500 0.000 0.770
Ac4 0.500 0.500 0.500
Cu1 0.000 0.000 0.426
Cu2 0.000 0.500 0.694
Cu3 0.000 0.500 0.845
Cu4 0.500 0.000 0.194
Cu5 0.500 0.000 0.345
Cu6 0.500 0.500 0.926
Hg1 0.000 0.000 0.598
Hg2 0.500 0.500 0.098
```

This record from the Alexandria database describes crystalline Ac4CuHg3 at its relaxed geometry. The functional is PBE.

Properties
- total DFT energy (no corrections) (eV/atom) = -3.051
- formation enthalpy at 0 K (eV per atom) = -0.37

Geometry as CIF:
```
data_Ac4CuHg3
_cell_length_a 3.976
_cell_length_b 3.976
_cell_length_c 16.129
_cell_angle_alpha 90.00
_cell_angle_beta 90.00
_cell_angle_gamma 90.00
_symmetry_space_group_name_H-M 'P 1'
_symmetry_Int_Tables_number 1
_symmetry_space_group_name_Hall 'P 1'
loop_
_atom_site_label
_atom_site_fract_x
_atom_site_fract_y
_atom_site_fract_z
Ac1 0.000 0.000 0.112
Ac2 0.000 0.000 0.372
Ac3 0.000 0.000 0.628
Ac4 0.000 0.000 0.888
Cu1 0.500 0.500 0.000
Hg1 0.500 0.500 0.244
Hg2 0.500 0.500 0.500
Hg3 0.500 0.500 0.756
```

This record from the Alexandria database describes crystalline Ac4CuHg2 at its relaxed geometry. The functional is PBE.

Properties
- total DFT energy (no corrections) (eV/atom) = -3.135
- formation enthalpy at 0 K (eV per atom) = -0.12

Geometry as CIF:
```
data_Ac4CuHg2
_cell_length_a 5.691
_cell_length_b 5.691
_cell_length_c 16.440
_cell_angle_alpha 90.00
_cell_angle_beta 90.00
_cell_angle_gamma 90.00
_symmetry_space_group_name_H-M 'P 1'
_symmetry_Int_Tables_number 1
_symmetry_space_group_name_Hall 'P 1'
loop_
_atom_site_label
_atom_site_fract_x
_atom_site_fract_y
_atom_site_fract_z
Ac1 0.000 0.000 0.190
Ac2 0.000 0.000 0.810
Ac3 0.000 0.500 0.000
Ac4 0.000 0.500 0.500
Ac5 0.500 0.000 0.000
Ac6 0.500 0.000 0.500
Ac7 0.500 0.500 0.310
Ac8 0.500 0.500 0.690
Cu1 0.000 0.000 0.000
Cu2 0.500 0.500 0.500
Hg1 0.000 0.000 0.384
Hg2 0.000 0.000 0.616
Hg3 0.500 0.500 0.116
Hg4 0.500 0.500 0.884
```

This record from the Alexandria database describes crystalline Ac2Cu3Hg at its relaxed geometry. The functional is PBE.

Properties
- relative energy among the computed polymorphs (meV/atom) = 0
- total DFT energy (no corrections) (eV/atom) = -3.715
- formation enthalpy at 0 K (eV per atom) = -0.25

Geometry as CIF:
```
data_Ac2Cu3Hg
_cell_length_a 9.086
_cell_length_b 8.870
_cell_length_c 6.185
_cell_angle_alpha 71.75
_cell_angle_beta 67.98
_cell_angle_gamma 40.28
_symmetry_space_group_name_H-M 'P 1'
_symmetry_Int_Tables_number 1
_symmetry_space_group_name_Hall 'P 1'
loop_
_atom_site_label
_atom_site_fract_x
_atom_site_fract_y
_atom_site_fract_z
Ac1 0.242 0.758 0.758
Ac2 0.250 0.250 0.250
Ac3 0.750 0.750 0.750
Ac4 0.758 0.242 0.242
Cu1 0.160 0.160 0.840
Cu2 0.160 0.680 0.320
Cu3 0.320 0.840 0.160
Cu4 0.680 0.160 0.840
Cu5 0.840 0.320 0.680
Cu6 0.840 0.840 0.160
Hg1 0.334 0.334 0.666
Hg2 0.666 0.666 0.334
```